# 1
4
Lattice="-3.622 0.014 -1.850 -1.900 -3.161 3.695 -1.453 4.238 2.878" Properties=species:S:1:pos:R:3 comment="BaH2Br (PBE, relaxed)" polymorph_energy_mev_per_atom=0 space_group="Pmmm (47)" magnetic_moment_mub_per_atom=0.00 pbc="T T T"
Br -3.918 1.340 0.975
H -1.962 -2.368 2.497
H -2.698 -2.366 2.121
Ba -3.057 -0.248 3.748

# 2
5
Lattice="-3.699 -2.307 2.000 0.465 -3.532 -3.212 3.017 -2.283 2.947" Properties=species:S:1:pos:R:3 comment="KNaW3 (PBE, relaxed)" polymorph_energy_mev_per_atom=0 formation_enthalpy_0k_ev_per_atom=3.44 space_group="Pm-3m (221)" magnetic_moment_mub_per_atom=0.00 pbc="T T T"
K -0.108 -4.060 0.868
W 0.233 -1.766 -1.606
Na 0.000 0.000 0.000
W -1.849 -1.153 1.000
W 1.509 -1.141 1.474

# 3
10
Lattice="-1.173 3.358 -0.433 -3.322 -1.230 -0.540 -3.388 1.163 18.182" Properties=species:S:1:pos:R:3 comment="Dy5Al4Hg (PBE, relaxed)" formation_enthalpy_0k_ev_per_atom=-0.41 space_group="P4/mmm (123)" magnetic_moment_mub_per_atom=0.00 pbc="T T T"
Al -2.023 0.695 10.857
Dy -3.283 1.419 5.068
Dy -5.268 2.101 15.723
Al -2.690 0.924 14.435
Dy -2.615 1.190 1.486
Dy -3.942 1.645 8.604
Dy -4.601 1.872 12.141
Al -1.365 0.469 7.326
Hg 0.000 0.000 0.000
Al -0.698 0.240 3.747

# 4
18
Lattice="-6.933 -0.210 -5.466 4.518 -5.193 -5.532 -1.543 -3.666 9.231" Properties=species:S:1:pos:R:3 comment="Pm2NdSm5Er (PBE, relaxed)" formation_enthalpy_0k_ev_per_atom=0.28 space_group="I4/mcm (140)" magnetic_moment_mub_per_atom=0.00 pbc="T T T"
Sm 0.969 -5.638 3.128
Er -4.841 -3.289 -0.867
Sm 0.993 -5.489 -4.041
Sm -4.927 -3.432 -4.894
Nd -2.582 -5.886 -3.632
Sm -4.950 -3.581 2.275
Sm -1.824 -2.909 -1.716
Sm -1.207 -2.702 -5.499
Sm -2.109 -6.012 -7.220
Pm 0.920 -2.014 -2.758
Er 0.884 -5.781 -0.899
Pm 1.334 -4.667 -6.979
Nd -1.375 -3.184 1.866
Sm -1.848 -3.058 5.454
Pm -3.749 -0.737 -4.019
Sm -2.133 -6.161 -0.050
Pm -3.335 -3.389 -8.239
Sm 0.000 0.000 0.000

What did the first record say?
4
Lattice="-3.622 0.014 -1.850 -1.900 -3.161 3.695 -1.453 4.238 2.878" Properties=species:S:1:pos:R:3 comment="BaH2Br (PBE, relaxed)" polymorph_energy_mev_per_atom=0 space_group="Pmmm (47)" magnetic_moment_mub_per_atom=0.00 pbc="T T T"
Br -3.918 1.340 0.975
H -1.962 -2.368 2.497
H -2.698 -2.366 2.121
Ba -3.057 -0.248 3.748